! CaNdY (PBE-GGA, relaxed); values from VASP
! final energy: -26.27 eV per cell
! energy of formation: 3 kJ/mol of atoms
! volume: 36.10 Å³ per atom
! magnetic moment: 0.0 μB/f.u.
&SYSTEM
  ibrav = 0, nat = 6, ntyp = 3
/
ATOMIC_SPECIES
Nd 144.24 Nd.upf
Ca 40.08 Ca.upf
Y 88.91 Y.upf
CELL_PARAMETERS angstrom
3.6784 0.0000 0.0000
0.0000 3.6784 0.0000
0.0000 0.0000 16.0071
ATOMIC_POSITIONS crystal
Nd 0.5000 0.0000 0.7329
Nd 0.0000 0.5000 0.2671
Ca 0.5000 0.0000 0.0926
Ca 0.0000 0.5000 0.9074
Y 0.5000 0.0000 0.4205
Y 0.0000 0.5000 0.5795